Material: CaTbNd2Y4
Method: DFT, PBE
State: relaxed

Results
Total moment: 4.4 μB/cell
Fermi-level density of states: 17.325 states/eV/f.u.
DFT formation energy: 0.42 eV per atom
Symmetry: C2/c

```
CaTbNd2Y4
1.0
9.480 -0.038 -1.910
-0.044 9.480 -1.910
-5.949 -5.953 8.632
Ca Tb Nd Y
2 2 4 8
Direct
0.500 0.500 0.500
0.000 0.000 0.000
0.000 0.500 0.000
0.000 0.500 0.500
0.500 0.000 0.000
0.500 0.000 0.500
0.000 0.000 0.500
0.500 0.500 0.000
0.250 0.749 0.999
0.751 0.250 0.501
0.249 0.750 0.499
0.750 0.251 0.001
0.753 0.749 0.013
0.751 0.747 0.487
0.249 0.253 0.513
0.247 0.251 0.987
```